(1)
First-principles (PBE-GGA) data for YThBi2 after structural relaxation, as listed in Alexandria.

Computed properties:
The space group is I4_1/amd. Its energy above the most stable polymorph in this dataset is 1 meV per atom. The formation energy comes out at -281.2 kJ/mol of formula units.

abc: 6.4395 6.4395 7.8643
angles: 114.17 114.17 90.00
Fractional coordinates of all 8 atoms:
1 Y 0.5000 0.5000 0.0000
2 Th 0.0000 0.0000 0.0000
3 Bi 0.4970 0.9970 0.9940
4 Bi 0.7470 0.7470 0.4940
5 Bi 0.0030 0.5030 0.0060
6 Y 0.2500 0.7500 0.5000
7 Th 0.7500 0.2500 0.5000
8 Bi 0.2530 0.2530 0.5060

(2)
First-principles (PBE-GGA) data for SrSmDy2Se4 after structural relaxation, as listed in Alexandria.

Computed properties:
The space group is P2/m. For the uncorrected formation energy, the calculation gives -1.82 eV/atom.

abc: 4.1496 7.2504 7.2461
angles: 70.96 90.00 90.00
Fractional coordinates of all 8 atoms:
1 Dy 0.5000 0.0000 0.5000
2 Se 0.0000 0.2347 0.2590
3 Sm 0.0000 0.5000 0.5000
4 Se 0.0000 0.7653 0.7410
5 Sr 0.5000 0.5000 0.0000
6 Se 0.5000 0.2384 0.7506
7 Dy 0.0000 0.0000 0.0000
8 Se 0.5000 0.7616 0.2494

Going through the records in order, we get D(E_F) values of 0.446, 0.380 states/eV per atom.